Material: RbTi3Si2P6O25
Method: DFT, PBE-GGA
State: relaxed

Geometry as POSCAR:
```
RbTi3Si2P6O25
1.0
8.4209 0.0000 0.0000
-4.2104 7.2927 0.0000
0.0000 0.0000 17.3623
Rb Ti Si P O
2 6 4 12 50
direct
0.3333 0.6667 0.2500
0.6667 0.3333 0.7500
0.3333 0.6667 0.0241
0.3333 0.6667 0.4759
0.3333 0.6667 0.7500
0.6667 0.3333 0.2500
0.6667 0.3333 0.5241
0.6667 0.3333 0.9759
0.0000 0.0000 0.0922
0.0000 0.0000 0.4078
0.0000 0.0000 0.5922
0.0000 0.0000 0.9078
0.0512 0.3832 0.6095
0.0512 0.6680 0.8905
0.3320 0.3832 0.8905
0.3320 0.9488 0.6095
0.3832 0.0512 0.1095
0.3832 0.3320 0.3905
0.6168 0.6680 0.6095
0.6168 0.9488 0.8905
0.6680 0.0512 0.3905
0.6680 0.6168 0.1095
0.9488 0.3320 0.1095
0.9488 0.6168 0.3905
0.0000 0.0000 0.0000
0.0000 0.0000 0.5000
0.0149 0.1876 0.1258
0.0149 0.8273 0.3742
0.1223 0.5152 0.0930
0.1223 0.6072 0.4070
0.1357 0.4802 0.6854
0.1357 0.6555 0.8146
0.1727 0.1876 0.3742
0.1727 0.9851 0.1258
0.1860 0.4472 0.5419
0.1860 0.7388 0.9581
0.1876 0.0149 0.6258
0.1876 0.1727 0.8742
0.2612 0.4472 0.9581
0.2612 0.8140 0.5419
0.3445 0.4802 0.8146
0.3445 0.8643 0.6854
0.3928 0.5152 0.4070
0.3928 0.8777 0.0930
0.4472 0.1860 0.0419
0.4472 0.2612 0.4581
0.4802 0.1357 0.1854
0.4802 0.3445 0.3146
0.4848 0.6072 0.0930
0.4848 0.8777 0.4070
0.5152 0.1223 0.5930
0.5152 0.3928 0.9070
0.5198 0.6555 0.6854
0.5198 0.8643 0.8146
0.5528 0.7388 0.5419
0.5528 0.8140 0.9581
0.6072 0.1223 0.9070
0.6072 0.4848 0.5930
0.6555 0.1357 0.3146
0.6555 0.5198 0.1854
0.7388 0.1860 0.4581
0.7388 0.5528 0.0419
0.8124 0.8273 0.1258
0.8124 0.9851 0.3742
0.8140 0.2612 0.0419
0.8140 0.5528 0.4581
0.8273 0.0149 0.8742
0.8273 0.8124 0.6258
0.8643 0.3445 0.1854
0.8643 0.5198 0.3146
0.8777 0.3928 0.5930
0.8777 0.4848 0.9070
0.9851 0.1727 0.6258
0.9851 0.8124 0.8742
```

Results
Formation energy without anion corrections ... -2.529 eV/atom
Total DFT energy (no corrections) ... -285.48 eV/f.u.

Material: HgIrC3
Method: DFT, PBE-GGA
State: relaxed

Geometry as POSCAR:
```
HgIrC3
1.0
4.1690 0.0000 0.0000
0.0000 4.1690 0.0000
0.0000 0.0000 4.1690
Hg Ir C
1 1 3
direct
0.0000 0.0000 0.0000
0.5000 0.5000 0.5000
0.0000 0.0000 0.5000
0.0000 0.5000 0.0000
0.5000 0.0000 0.0000
```

Results
Excess energy over the best structure of this formula in the dataset ... 1.673 eV/atom
Total DFT energy (no corrections) ... -17.61 eV/f.u.
Calculated formation energy ... 3.8458 eV per atom

Material: Hf2ScAs
Method: DFT, PBE-GGA
State: relaxed

Geometry as POSCAR:
```
Hf2ScAs
1.0
-4.0129 4.0129 2.7937
4.0129 -4.0129 2.7937
4.0129 4.0129 -2.7937
Hf Sc As
4 2 2
direct
0.0717 0.6250 0.9467
0.3750 0.3217 0.4467
0.6783 0.1250 0.0533
0.8750 0.9283 0.5533
0.2500 0.7500 0.5000
0.5000 0.5000 0.0000
0.0000 0.0000 0.0000
0.7500 0.2500 0.5000
```

Results
Total DFT energy (no corrections) ... -31.43 eV/f.u.
Calculated formation energy ... -0.1349 eV per atom

Material: Cd2CuPb
Method: DFT, PBE-GGA
State: relaxed

Geometry as POSCAR:
```
Cd2CuPb
1.0
-2.2175 2.2175 4.5169
2.2175 -2.2175 4.5169
2.2175 2.2175 -4.5169
Cd Cu Pb
2 1 1
direct
0.0000 0.0000 0.0000
0.7500 0.2500 0.5000
0.2500 0.7500 0.5000
0.5000 0.5000 0.0000
```

Results
Total DFT energy (no corrections) ... -8.80 eV/f.u.
Calculated formation energy ... 0.2084 eV per atom

Material: AcCd3Pt
Method: DFT, PBE-GGA
State: relaxed

Geometry as POSCAR:
```
AcCd3Pt
1.0
5.7825 0.0000 0.0000
0.0000 6.1117 0.0000
-2.6630 0.0000 7.0591
Ac Cd Pt
2 6 2
direct
0.2190 0.2500 0.1289
0.7810 0.7500 0.8711
0.2168 0.0113 0.6891
0.2168 0.4887 0.6891
0.3211 0.7500 0.3904
0.6789 0.2500 0.6096
0.7832 0.5113 0.3109
0.7832 0.9887 0.3109
0.3398 0.7500 0.0268
0.6602 0.2500 0.9732
```

Results
Total DFT energy (no corrections) ... -15.41 eV/f.u.
Calculated formation energy ... -0.5035 eV per atom

Material: Hf4AlAu
Method: DFT, PBE-GGA
State: relaxed

Geometry as POSCAR:
```
Hf4AlAu
1.0
2.4871 -9.6030 0.0000
2.4871 9.6030 0.0000
0.0000 0.0000 5.8140
Hf Al Au
8 2 2
direct
0.0652 0.9348 0.5000
0.2078 0.7922 0.2551
0.2079 0.7921 0.7421
0.3635 0.6365 0.4980
0.6365 0.3635 0.9980
0.7921 0.2079 0.2421
0.7922 0.2078 0.7551
0.9348 0.0652 0.0000
0.3428 0.6572 0.9985
0.6572 0.3428 0.4985
0.0751 0.9249 0.0000
0.9249 0.0751 0.5000
```

Results
Total DFT energy (no corrections) ... -46.92 eV/f.u.
Calculated formation energy ... -0.0147 eV per atom

Material: PrBePt3
Method: DFT, PBE-GGA
State: relaxed

Geometry as POSCAR:
```
PrBePt3
1.0
4.4491 0.0000 0.0000
0.0000 4.4491 0.0000
0.0000 0.0000 4.4491
Pr Be Pt
1 1 3
direct
0.0000 0.0000 0.0000
0.5000 0.5000 0.5000
0.0000 0.5000 0.5000
0.5000 0.0000 0.5000
0.5000 0.5000 0.0000
```

Results
Excess energy over the best structure of this formula in the dataset ... 0.122 eV/atom
Total DFT energy (no corrections) ... -30.51 eV/f.u.
Calculated formation energy ... -0.7772 eV per atom

Material: As2PPd
Method: DFT, PBE-GGA
State: relaxed

Geometry as POSCAR:
```
As2PPd
1.0
0.0000 3.2244 3.2244
3.2244 0.0000 3.2244
3.2244 3.2244 0.0000
As P Pd
2 1 1
direct
0.2500 0.2500 0.2500
0.7500 0.7500 0.7500
0.0000 0.0000 0.0000
0.5000 0.5000 0.5000
```

Results
Excess energy over the best structure of this formula in the dataset ... 0.304 eV/atom
Total DFT energy (no corrections) ... -18.73 eV/f.u.
Calculated formation energy ... 0.2924 eV per atom